VASP calculation (PBE-GGA) on a relaxed CaDy2Y crystal.

Cell: 5.750 5.750 5.750 Å, 60.00 60.00 60.00°
Atoms (fractional coordinates):
Ca 0.000 0.000 0.000
Dy 0.250 0.250 0.250
Dy 0.750 0.750 0.750
Y 0.500 0.500 0.500

Summary:
Space-group type   Fm-3m, No. 225
Total DFT energy (no corrections)   -4.247 eV per atom
Energy relative to the elements   171 meV per atom
Crystal system   cubic
Distance to the lowest polymorph of the same formula   107 meV per atom